DFT (PBE-GGA) results for a relaxed MgSi2As crystal.

a b c (Å): 3.540 3.540 5.681
angles (deg): 90.00 90.00 90.04
Positions (direct):
As  0.500  0.500  0.250
Mg  0.500  0.500  0.750
Si  0.000  0.000  0.030
Si  0.000  0.000  0.470

Values from the calculation:
Space-group type   P4/mmm, No. 123


DFT (PBE-GGA) results for a relaxed MgSi2As crystal.

a b c (Å): 4.557 4.557 3.570
angles (deg): 90.00 90.00 106.58
Positions (direct):
As  0.500  0.000  0.500
Mg  0.000  0.500  0.500
Si  0.000  0.000  0.000
Si  0.500  0.500  0.000

Values from the calculation:
Space-group type   Cmmm, No. 65


DFT (PBE-GGA) results for a relaxed MgSiAs crystal.

a b c (Å): 4.475 4.475 4.475
angles (deg): 60.00 60.00 60.00
Positions (direct):
As  0.500  0.500  0.500
Mg  0.750  0.750  0.750
Si  0.000  0.000  0.000

Values from the calculation:
Space-group type   F-43m, No. 216


DFT (PBE-GGA) results for a relaxed MgSi2As crystal.

a b c (Å): 5.080 5.080 4.505
angles (deg): 74.28 74.28 40.20
Positions (direct):
As  0.750  0.750  0.750
Mg  0.250  0.250  0.250
Si  0.013  0.013  0.934
Si  0.487  0.487  0.566

Values from the calculation:
Space-group type   C2/m, No. 12


DFT (PBE-GGA) results for a relaxed MgSi2As crystal.

a b c (Å): 5.156 5.156 5.156
angles (deg): 133.95 133.95 67.17
Positions (direct):
As  0.500  0.500  0.000
Mg  0.750  0.250  0.500
Si  0.000  0.000  0.000
Si  0.250  0.750  0.500

Values from the calculation:
Space-group type   I-4m2, No. 119


DFT (PBE-GGA) results for a relaxed MgSi4As crystal.

a b c (Å): 5.182 5.182 5.182
angles (deg): 60.00 60.00 60.00
Positions (direct):
Mg  0.000  0.000  0.000
Si  0.875  0.375  0.375
Si  0.375  0.375  0.875
Si  0.375  0.875  0.375
Si  0.375  0.375  0.375
As  0.750  0.750  0.750

Values from the calculation:
Space-group type   F-43m, No. 216


DFT (PBE-GGA) results for a relaxed MgSiAs crystal.

a b c (Å): 3.415 3.420 11.379
angles (deg): 90.00 90.00 119.96
Positions (direct):
Si  0.444  0.888  0.000
Si  0.445  0.890  0.500
Mg  0.778  0.556  0.324
Mg  0.778  0.556  0.676
As  0.111  0.222  0.853
As  0.111  0.222  0.147

Values from the calculation:
Space-group type   Amm2, No. 38


DFT (PBE-GGA) results for a relaxed MgSi2As crystal.

a b c (Å): 4.919 2.771 5.105
angles (deg): 90.00 90.00 90.00
Positions (direct):
As  0.500  0.250  0.250
Mg  0.500  0.750  0.750
Si  0.000  0.250  0.003
Si  0.000  0.250  0.497

Values from the calculation:
Space-group type   Pmmm, No. 47


DFT (PBE-GGA) results for a relaxed MgSiAs crystal.

a b c (Å): 5.379 5.379 3.383
angles (deg): 71.66 71.68 36.65
Positions (direct):
As  0.023  0.023  0.977
Mg  0.332  0.332  0.668
Si  0.646  0.646  0.354

Values from the calculation:
Space-group type   I4mm, No. 107


DFT (PBE-GGA) results for a relaxed Mg2SiAs crystal.

a b c (Å): 3.713 3.713 5.686
angles (deg): 90.00 90.00 90.00
Positions (direct):
As  0.500  0.500  0.786
Mg  0.000  0.000  0.956
Mg  0.500  0.500  0.289
Si  0.000  0.000  0.469

Values from the calculation:
Space-group type   P4mm, No. 99


DFT (PBE-GGA) results for a relaxed Mg2SiAs crystal.

a b c (Å): 3.905 2.985 6.872
angles (deg): 69.08 90.00 90.00
Positions (direct):
As  0.500  0.750  0.750
Mg  0.000  0.986  0.005
Mg  0.000  0.514  0.495
Si  0.500  0.250  0.250

Values from the calculation:
Space-group type   P2/m, No. 10


DFT (PBE-GGA) results for a relaxed Mg2SiAs crystal.

a b c (Å): 4.530 4.530 5.204
angles (deg): 74.83 74.83 49.39
Positions (direct):
As  0.250  0.250  0.250
Mg  0.999  0.999  0.994
Mg  0.501  0.501  0.506
Si  0.750  0.750  0.750

Values from the calculation:
Space-group type   C2/m, No. 12


Total magnetization, record by record: 0.00 0.00 0.00 0.00 0.00 0.00 0.00 0.00 0.00 0.00 0.00 0.00 μB per atom
Uncorrected energy, record by record: -3.996 -4.014 -3.645 -4.104 -3.985 -4.284 -3.796 -4.085 -3.810 -3.269 -3.379 -3.393 eV/atom
Energy relative to the elements, uncorrected, record by record: 0.276 0.258 0.244 0.169 0.287 0.372 0.093 0.187 0.079 0.046 -0.063 -0.078 eV per atom